1.
A geometry-optimized LiSnP2O7 structure. Source: Alexandria, functional PBE.

Structure (POSCAR):
```
LiSnP2O7
1.0
-4.222 -5.121 1.157
-0.241 -2.348 -6.245
4.763 -5.193 -1.043
Sn O Li P
2 14 2 4
direct
0.665 0.106 0.758
0.335 0.894 0.242
0.053 0.370 0.875
0.604 0.426 0.784
0.420 0.776 0.559
0.947 0.630 0.125
0.666 0.935 0.115
0.260 0.217 0.276
0.995 0.930 0.259
0.005 0.070 0.741
0.396 0.574 0.216
0.580 0.224 0.441
0.764 0.630 0.445
0.236 0.370 0.555
0.334 0.065 0.885
0.740 0.783 0.724
0.012 0.687 0.834
0.988 0.313 0.166
0.148 0.216 0.774
0.623 0.657 0.637
0.852 0.784 0.226
0.377 0.343 0.363
```

Values from the calculation:
For the energy above the most stable polymorph in this dataset, the calculation gives 1.01 kcal/mol of atoms. The calculation puts the uncorrected formation energy at -2021.4 meV per atom.

2.
A geometry-optimized Tb4CuGe3 structure. Source: Alexandria, functional PBE.

Structure (POSCAR):
```
Tb4CuGe3
1.0
-3.814 -1.810 -0.215
0.689 -1.868 3.507
-4.294 8.416 5.326
Cu Tb Ge
1 4 3
direct
0.500 0.500 0.070
0.500 0.500 0.361
0.000 0.000 0.139
0.000 0.500 0.863
0.500 0.000 0.639
0.000 0.500 0.587
0.500 0.000 0.923
0.000 0.000 0.418
```

Values from the calculation:
The calculation puts the formation energy at -0.7167 eV/atom.

3.
A geometry-optimized ZrAgGeAu structure. Source: Alexandria, functional PBE.

Structure (POSCAR):
```
ZrAgGeAu
1.0
-2.002 0.412 -4.268
-3.615 -2.809 -1.199
-4.359 1.797 -0.406
Ge Ag Zr Au
1 1 1 1
direct
0.250 0.250 0.250
0.500 0.500 0.500
0.000 0.000 0.000
0.750 0.750 0.750
```

Values from the calculation:
The calculation puts the formation energy at -0.2667 eV/atom.

4.
A geometry-optimized VCuAg structure. Source: Alexandria, functional PBE.

Structure (POSCAR):
```
VCuAg
1.0
-0.678 2.206 1.470
-3.931 -0.127 -3.505
-2.345 -3.858 4.529
V Ag Cu
2 2 2
direct
0.252 0.013 0.014
0.518 0.814 0.232
0.887 0.360 0.331
0.571 0.708 0.663
0.918 0.455 0.936
0.259 0.148 0.627
```

Values from the calculation:
For the energy above the most stable polymorph in this dataset, the calculation gives 3.33 kcal/mol of atoms. The calculation puts the formation energy at 0.2845 eV/atom.

5.
A geometry-optimized La2TbPm2Tm2 structure. Source: Alexandria, functional PBE.

Structure (POSCAR):
```
La2TbPm2Tm2
1.0
-3.128 0.722 4.003
5.665 -2.239 1.542
1.900 7.850 0.070
La Tb Tm Pm
2 1 2 2
direct
0.857 0.713 0.572
0.143 0.287 0.428
0.000 0.000 0.000
0.716 0.432 0.137
0.284 0.568 0.863
0.429 0.858 0.279
0.571 0.142 0.721
```

Values from the calculation:
The calculation puts the formation energy at 0.0289 eV/atom.

6.
A geometry-optimized CrS structure. Source: Alexandria, functional PBE.

Structure (POSCAR):
```
CrS
1.0
3.465 0.000 0.000
-1.733 3.001 0.000
0.000 0.000 5.747
Cr S
2 2
direct
0.000 0.000 0.500
0.000 0.000 0.000
0.667 0.333 0.250
0.333 0.667 0.750
```

Values from the calculation:
The calculation puts the uncorrected formation energy at -473.8 meV per atom.

Number 1: DOS(E_F) 0.140 states/eV/atom, VASP energy -147.36 eV/cell, spin magnetization 0.00 μB/cell. Number 2: DOS(E_F) 0.751 states/eV/atom, VASP energy -42.20 eV/cell, spin magnetization 0.00 μB/cell. Number 3: DOS(E_F) 0.624 states/eV/atom, VASP energy -20.36 eV/cell, spin magnetization 0.00 μB/cell. Number 4: DOS(E_F) 0.741 states/eV/atom, VASP energy -30.43 eV/cell, spin magnetization 0.00 μB/cell. Number 5: DOS(E_F) 1.610 states/eV/atom, VASP energy -32.73 eV/cell, spin magnetization 0.00 μB/cell. Number 6: DOS(E_F) 0.675 states/eV/atom, VASP energy -29.40 eV/cell, spin magnetization 6.27 μB/cell.